A PBEsol-optimized structure of BiTeP3. Source: Alexandria, functional SCAN. Values from VASP.

Properties
Volume (Å³ per cell): 135.9
E (eV per atom): -27.889

Cell and atoms, written as Quantum ESPRESSO input:
```
&SYSTEM
  ibrav = 0, nat = 5, ntyp = 3
/
ATOMIC_SPECIES
Bi 208.98 Bi.upf
Te 127.60 Te.upf
P 30.97 P.upf
ATOMIC_POSITIONS crystal
Bi 0.0000 0.0000 0.0000
Te 0.5000 0.5000 0.5000
P 0.0000 0.0000 0.5000
P 0.0000 0.5000 0.0000
P 0.5000 0.0000 0.0000
CELL_PARAMETERS angstrom
5.1409 0.0000 0.0000
0.0000 5.1409 0.0000
0.0000 0.0000 5.1409
```

---

A PBEsol-optimized structure of NaBi2As. Source: Alexandria, functional SCAN. Values from VASP.

Properties
Formation energy from the elements (eV per atom): -0.050
Volume (Å³ per cell): 233.1

Cell and atoms, written as Quantum ESPRESSO input:
```
&SYSTEM
  ibrav = 0, nat = 8, ntyp = 3
/
ATOMIC_SPECIES
Na 22.99 Na.upf
Bi 208.98 Bi.upf
As 74.92 As.upf
ATOMIC_POSITIONS crystal
Na 0.0000 0.0000 0.0000
Na 0.7500 0.2500 0.5000
Bi 0.1689 0.6250 0.0439
Bi 0.3750 0.4189 0.5439
Bi 0.5811 0.1250 0.9561
Bi 0.8750 0.8311 0.4561
As 0.2500 0.7500 0.5000
As 0.5000 0.5000 0.0000
CELL_PARAMETERS angstrom
-4.3375 4.3375 3.0976
4.3375 -4.3375 3.0976
4.3375 4.3375 -3.0976
```

---

A PBEsol-optimized structure of As5Pb3S10. Source: Alexandria, functional SCAN. Values from VASP.

Properties
Polymorph energy (0 for the lowest one) (meV/atom): 0
Volume (Å³ per cell): 1618.0

Cell and atoms, written as Quantum ESPRESSO input:
```
&SYSTEM
  ibrav = 0, nat = 72, ntyp = 3
/
ATOMIC_SPECIES
As 74.92 As.upf
Pb 207.20 Pb.upf
S 32.06 S.upf
ATOMIC_POSITIONS crystal
As 0.0943 0.0273 0.4474
As 0.0943 0.4727 0.9474
As 0.1962 0.1424 0.1586
As 0.1962 0.3576 0.6586
As 0.2107 0.6537 0.5425
As 0.2107 0.8463 0.0425
As 0.2497 0.6589 0.3566
As 0.2497 0.8411 0.8566
As 0.3452 0.2149 0.9377
As 0.3452 0.2851 0.4377
As 0.6548 0.7149 0.5623
As 0.6548 0.7851 0.0623
As 0.7503 0.1589 0.1434
As 0.7503 0.3411 0.6434
As 0.7893 0.1537 0.9575
As 0.7893 0.3463 0.4575
As 0.8038 0.6424 0.3414
As 0.8038 0.8576 0.8414
As 0.9057 0.5273 0.0526
As 0.9057 0.9727 0.5526
Pb 0.0266 0.2427 0.2900
Pb 0.0266 0.2573 0.7900
Pb 0.4064 0.1134 0.5762
Pb 0.4064 0.3866 0.0762
Pb 0.4808 0.7343 0.6968
Pb 0.4808 0.7657 0.1968
Pb 0.5192 0.2343 0.8032
Pb 0.5192 0.2657 0.3032
Pb 0.5936 0.6134 0.9238
Pb 0.5936 0.8866 0.4238
Pb 0.9734 0.7427 0.2100
Pb 0.9734 0.7573 0.7100
S 0.0133 0.6758 0.8298
S 0.0133 0.8242 0.3298
S 0.0771 0.1982 0.5179
S 0.0771 0.3018 0.0179
S 0.1266 0.0419 0.9016
S 0.1266 0.4581 0.4016
S 0.1923 0.6565 0.1094
S 0.1923 0.8435 0.6094
S 0.2349 0.5035 0.7382
S 0.2349 0.9965 0.2382
S 0.2453 0.5151 0.2781
S 0.2453 0.9849 0.7781
S 0.3280 0.6617 0.9903
S 0.3280 0.8383 0.4903
S 0.3330 0.0986 0.3677
S 0.3330 0.4014 0.8677
S 0.4003 0.1723 0.6844
S 0.4003 0.3277 0.1844
S 0.4550 0.5237 0.5914
S 0.4550 0.9763 0.0914
S 0.5450 0.0237 0.9086
S 0.5450 0.4763 0.4086
S 0.5997 0.6723 0.8156
S 0.5997 0.8277 0.3156
S 0.6670 0.5986 0.1323
S 0.6670 0.9014 0.6323
S 0.6720 0.1617 0.5097
S 0.6720 0.3383 0.0097
S 0.7547 0.0151 0.2219
S 0.7547 0.4849 0.7219
S 0.7651 0.0035 0.7618
S 0.7651 0.4965 0.2618
S 0.8077 0.1565 0.3906
S 0.8077 0.3435 0.8906
S 0.8734 0.5419 0.5984
S 0.8734 0.9581 0.0984
S 0.9229 0.6982 0.9821
S 0.9229 0.8018 0.4821
S 0.9867 0.1758 0.6702
S 0.9867 0.3242 0.1702
CELL_PARAMETERS angstrom
8.5640 0.0000 0.0000
0.0000 7.7036 0.0000
-5.7947 0.0000 24.5246
```

---

A PBEsol-optimized structure of Ca2NiHg. Source: Alexandria, functional SCAN. Values from VASP.

Properties
Formation energy from the elements (eV per atom): -0.328
Volume (Å³ per cell): 97.3

Cell and atoms, written as Quantum ESPRESSO input:
```
&SYSTEM
  ibrav = 0, nat = 4, ntyp = 3
/
ATOMIC_SPECIES
Ca 40.08 Ca.upf
Ni 58.69 Ni.upf
Hg 200.59 Hg.upf
ATOMIC_POSITIONS crystal
Ca 0.0000 0.0000 0.0000
Ca 0.5000 0.2885 0.2885
Ni 0.0000 0.7119 0.7119
Hg 0.5000 0.5796 0.5796
CELL_PARAMETERS angstrom
4.3431 0.0000 0.0000
0.0000 2.0623 5.4290
0.0000 -2.0623 5.4290
```

---

What is the formula in the third record?
As5Pb3S10

---

What is the volume in the fourth record?
97.3 Å³ per cell

---

The lowest volume belongs to which entry?
Ca2NiHg